## 1
DFT (GGA-PBEsol) results for a relaxed NaTlO crystal.

Unit cell a=6.0655 b=3.5135 c=11.3236 alpha=90.00 beta=100.24 gamma=90.00
Last column: nearest neighbours and their distance in Å.
Sites, in units of the cell vectors:
Na1 0.0000 0.0000 0.0000  3 O 2.27-2.31
Na2 0.1365 0.5000 0.6942  3 O 2.25-2.26
Na3 0.3956 0.5000 0.4983  3 O 2.33-2.40
Na4 0.6057 0.0000 0.6955  3 O 2.28-2.29
Tl1 0.3996 0.0000 0.2141  3 O 2.42-2.53
Tl2 0.5134 0.5000 0.9589  3 O 2.28-2.45
Tl3 0.8843 0.0000 0.4893  3 O 2.30-2.43
Tl4 0.9234 0.5000 0.2349  3 O 2.61-2.89
O1 0.2271 0.5000 0.0655  2 Na 2.27, 3 Tl 2.28-2.53
O2 0.2457 0.0000 0.5938  5 Na 2.25-2.33, 1 Tl 2.30
O3 0.6912 0.0000 0.0935  1 Na 2.31, 3 Tl 2.42-2.45
O4 0.7685 0.5000 0.6128  4 Na 2.26-2.40, 2 Tl 2.43

* DOS(E_F): 0.042 states/eV per atom
* theoretical density: 6.8 g/cm3

## 2
DFT (GGA-PBEsol) results for a relaxed NaTlO crystal.

Unit cell a=3.4642 b=3.4642 c=11.4050 alpha=90.00 beta=90.00 gamma=120.00
Last column: nearest neighbours and their distance in Å.
Sites, in units of the cell vectors:
Na1 0.3333 0.6667 0.0000  3 O 2.30
Na2 0.6667 0.3333 0.5000  3 O 2.30
Tl1 0.3333 0.6667 0.2769  3 O 2.45
Tl2 0.6667 0.3333 0.7769  3 O 2.45
O1 0.0000 0.0000 0.4012  3 Na 2.30, 3 Tl 2.45
O2 0.0000 0.0000 0.9012  3 Na 2.30, 3 Tl 2.45

* theoretical density: 6.8 g/cm3

Most stable of them? 2.

## 1
DFT (GGA-PBEsol) results for a relaxed NaTmO2 crystal.

Unit cell a=5.9465 b=5.9465 c=5.9465 alpha=135.42 beta=135.42 gamma=64.88
Last column: nearest neighbours and their distance in Å.
Sites, in units of the cell vectors:
Na1 0.3750 0.6250 0.7500  4 O 2.27
Na2 0.6250 0.3750 0.2500  4 O 2.27
Tm1 0.1250 0.8750 0.2500  6 O 2.23-2.27
Tm2 0.8750 0.1250 0.7500  6 O 2.23-2.27
O1 0.0967 0.3467 0.7500  3 Tm 2.23-2.27, 2 Na 2.27
O2 0.3467 0.0967 0.2500  3 Tm 2.23-2.27, 2 Na 2.27
O3 0.6533 0.9033 0.7500  3 Tm 2.23-2.27, 2 Na 2.27
O4 0.9033 0.6533 0.2500  3 Tm 2.23-2.27, 2 Na 2.27

* DOS(E_F): 0.000 states/eV per atom
* theoretical density: 7.3 g/cm3

## 2
DFT (GGA-PBEsol) results for a relaxed NaTmO2 crystal.

Unit cell a=5.8097 b=5.8097 c=5.8097 alpha=33.27 beta=33.27 gamma=33.27
Last column: nearest neighbours and their distance in Å.
Sites, in units of the cell vectors:
Na1 0.0000 0.0000 0.0000  6 O 2.50
Tm1 0.5000 0.5000 0.5000  6 O 2.24
O1 0.2364 0.2364 0.2364  3 Tm 2.24, 3 Na 2.50
O2 0.7636 0.7636 0.7636  3 Tm 2.24, 3 Na 2.50

* DOS(E_F): 0.000 states/eV per atom
* theoretical density: 7.1 g/cm3

Most stable of them? 2.

## 1
DFT (GGA-PBEsol) results for a relaxed Na3VO3 crystal.

Unit cell a=5.7235 b=5.8461 c=6.3459 alpha=113.41 beta=90.21 gamma=94.55
Last column: nearest neighbours and their distance in Å.
Sites, in units of the cell vectors:
Na1 0.0645 0.2329 0.4490  5 O 2.29-2.53
Na2 0.1529 0.2414 0.9758  4 O 2.32-2.48
Na3 0.4234 0.7193 0.7555  5 O 2.42-2.64
Na4 0.5766 0.2807 0.2445  5 O 2.42-2.64
Na5 0.8471 0.7586 0.0242  4 O 2.32-2.48
Na6 0.9355 0.7671 0.5510  5 O 2.29-2.53
V1 0.3751 0.8037 0.2998  3 O 1.76-1.90
V2 0.6249 0.1963 0.7002  3 O 1.76-1.90
O1 0.2366 0.9159 0.1171  1 V 1.76
O2 0.2470 0.5377 0.3503  1 V 1.81
O3 0.3152 0.0416 0.6140  2 V 1.90-1.98
O4 0.6848 0.9584 0.3860  2 V 1.90-1.98
O5 0.7530 0.4623 0.6497  1 V 1.81
O6 0.7634 0.0841 0.8829  1 V 1.76

* DOS(E_F): 0.369 states/eV per atom
* theoretical density: 2.9 g/cm3

## 2
DFT (GGA-PBEsol) results for a relaxed Na3VO3 crystal.

Unit cell a=9.1365 b=9.1365 c=6.4902 alpha=102.90 beta=102.90 gamma=64.28
Last column: nearest neighbours and their distance in Å.
Sites, in units of the cell vectors:
Na1 0.1379 0.1558 0.8183  3 O 2.27-2.39
Na2 0.1558 0.1379 0.3183  3 O 2.27-2.39
Na3 0.1600 0.8400 0.7500  2 O 2.22
Na4 0.2147 0.7853 0.2500  4 O 2.32-2.37
Na5 0.2675 0.4473 0.9157  3 O 2.33-2.43
Na6 0.4473 0.2675 0.4157  3 O 2.33-2.43
Na7 0.5527 0.7325 0.5843  3 O 2.33-2.43
Na8 0.7325 0.5527 0.0843  3 O 2.33-2.43
Na9 0.7853 0.2147 0.7500  4 O 2.32-2.37
Na10 0.8400 0.1600 0.2500  2 O 2.22
Na11 0.8442 0.8621 0.6817  3 O 2.27-2.39
Na12 0.8621 0.8442 0.1817  3 O 2.27-2.39
V1 0.0881 0.5143 0.3735  3 O 1.73-1.92
V2 0.4857 0.9119 0.1265  3 O 1.73-1.92
V3 0.5143 0.0881 0.8735  3 O 1.73-1.92
V4 0.9119 0.4857 0.6265  3 O 1.73-1.92
O1 0.0006 0.0829 0.0011  1 O 1.52
O2 0.0574 0.5913 0.6523  2 V 1.83-1.92
O3 0.0829 0.0006 0.5011  1 O 1.52
O4 0.2486 0.5184 0.2790  1 V 1.73
O5 0.4087 0.9426 0.8477  2 V 1.83-1.92
O6 0.4816 0.7514 0.2210  1 V 1.73
O7 0.5184 0.2486 0.7790  1 V 1.73
O8 0.5913 0.0574 0.1523  2 V 1.83-1.92
O9 0.7514 0.4816 0.7210  1 V 1.73
O10 0.9171 0.9994 0.4989  1 O 1.52
O11 0.9426 0.4087 0.3477  2 V 1.83-1.92
O12 0.9994 0.9171 0.9989  1 O 1.52

* DOS(E_F): 0.123 states/eV per atom
* theoretical density: 2.4 g/cm3

## 3
DFT (GGA-PBEsol) results for a relaxed Na3VO3 crystal.

Unit cell a=6.0295 b=10.5641 c=6.0365 alpha=90.00 beta=92.78 gamma=90.00
Last column: nearest neighbours and their distance in Å.
Sites, in units of the cell vectors:
Na1 0.0194 0.2113 0.0143  4 O 2.30-2.57
Na2 0.0194 0.2887 0.5143  4 O 2.30-2.57
Na3 0.1553 0.5054 0.8503  4 O 2.28-2.49
Na4 0.1553 0.9946 0.3503  4 O 2.28-2.49
Na5 0.4738 0.2205 0.4167  5 O 2.37-2.53
Na6 0.4738 0.2795 0.9167  5 O 2.37-2.53
Na7 0.5262 0.7205 0.0833  5 O 2.37-2.53
Na8 0.5262 0.7795 0.5833  5 O 2.37-2.53
Na9 0.8447 0.0054 0.6497  4 O 2.28-2.49
Na10 0.8447 0.4946 0.1497  4 O 2.28-2.49
Na11 0.9806 0.7113 0.4857  4 O 2.30-2.57
Na12 0.9806 0.7887 0.9857  4 O 2.30-2.57
V1 0.3290 0.5030 0.3350  4 O 1.78-1.93
V2 0.3290 0.9970 0.8350  4 O 1.78-1.93
V3 0.6710 0.0030 0.1650  4 O 1.78-1.93
V4 0.6710 0.4970 0.6650  4 O 1.78-1.93
O1 0.1833 0.6297 0.1926  1 V 1.80
O2 0.1833 0.8703 0.6926  1 V 1.80
O3 0.2297 0.1312 0.6823  1 V 1.78
O4 0.2297 0.3688 0.1823  1 V 1.78
O5 0.3939 0.0836 0.1125  2 V 1.89-1.93
O6 0.3939 0.4164 0.6125  2 V 1.89-1.93
O7 0.6061 0.5836 0.3875  2 V 1.89-1.93
O8 0.6061 0.9164 0.8875  2 V 1.89-1.93
O9 0.7703 0.6312 0.8177  1 V 1.78
O10 0.7703 0.8688 0.3177  1 V 1.78
O11 0.8167 0.1297 0.3074  1 V 1.80
O12 0.8167 0.3703 0.8074  1 V 1.80

* DOS(E_F): 0.172 states/eV per atom
* theoretical density: 2.9 g/cm3

Most stable of them? 3.